(1)
A relaxed structure of Dy6YTmTh2. Source: Alexandria via LeMat-Bulk, functional PBE-GGA.

Computed properties:
The calculated formation energy comes out at 148.8 meV per atom.

a b c (Å): 10.015 8.613 8.613
angles (deg): 117.68 96.10 96.10
Positions (direct):
Th 0.457 0.816 0.721
Th 0.543 0.184 0.279
Th 0.957 0.721 0.816
Th 0.043 0.279 0.184
Dy 0.051 0.114 0.739
Dy 0.117 0.694 0.493
Dy 0.449 0.261 0.886
Dy 0.179 0.573 0.022
Dy 0.821 0.427 0.978
Dy 0.617 0.493 0.694
Dy 0.551 0.739 0.114
Dy 0.883 0.306 0.507
Dy 0.321 0.978 0.427
Dy 0.383 0.507 0.306
Dy 0.949 0.886 0.261
Dy 0.679 0.022 0.573
Tm 0.250 0.404 0.596
Tm 0.750 0.596 0.404
Y 0.250 0.989 0.011
Y 0.750 0.011 0.989

=====

(2)
A relaxed structure of Dy2Y6Tm3Th. Source: Alexandria via LeMat-Bulk, functional PBE-GGA.

Computed properties:
The calculated formation energy comes out at 31.1 meV per atom.

a b c (Å): 6.150 6.150 11.767
angles (deg): 95.00 95.00 119.96
Positions (direct):
Y 0.415 0.085 0.251
Y 0.246 0.246 0.749
Y 0.754 0.754 0.251
Y 0.585 0.915 0.749
Y 0.085 0.415 0.251
Y 0.915 0.585 0.749
Tm 0.167 0.833 0.500
Tm 0.833 0.167 0.500
Tm 0.500 0.500 0.500
Dy 0.667 0.333 0.000
Dy 0.333 0.667 0.000
Th 0.000 0.000 0.000

=====

(3)
A relaxed structure of DyYTm2Th. Source: Alexandria via LeMat-Bulk, functional PBE-GGA.

Computed properties:
The calculated formation energy comes out at 332.0 meV per atom.

a b c (Å): 6.355 8.414 6.278
angles (deg): 97.48 90.00 90.00
Positions (direct):
Tm 0.304 0.312 0.211
Tm 0.304 0.688 0.289
Tm 0.696 0.312 0.711
Tm 0.696 0.688 0.789
Dy 0.000 0.000 0.000
Dy 0.000 0.000 0.500
Th 0.445 0.000 0.750
Th 0.555 0.000 0.250
Y 0.817 0.500 0.250
Y 0.183 0.500 0.750

=====

(4)
A relaxed structure of Dy3YTm6Th2. Source: Alexandria via LeMat-Bulk, functional PBE-GGA.

Computed properties:
The calculated formation energy comes out at 24.9 meV per atom.

a b c (Å): 6.114 6.114 11.640
angles (deg): 95.04 95.04 119.96
Positions (direct):
Tm 0.917 0.579 0.751
Tm 0.579 0.917 0.751
Tm 0.421 0.083 0.249
Tm 0.083 0.421 0.249
Tm 0.746 0.746 0.249
Tm 0.254 0.254 0.751
Dy 0.834 0.166 0.500
Dy 0.166 0.834 0.500
Dy 0.500 0.500 0.500
Th 0.667 0.333 0.000
Th 0.333 0.667 0.000
Y 0.000 0.000 0.000

=====

(5)
A relaxed structure of DyYTmTh. Source: Alexandria via LeMat-Bulk, functional PBE-GGA.

Computed properties:
Its energy above the most stable polymorph in this dataset is 0 meV per atom. The calculated formation energy comes out at 5.0 meV per atom.

a b c (Å): 3.581 3.582 11.566
angles (deg): 90.00 98.91 120.01
Each line ends with the local moment (μB).
Positions (direct):
Th 0.301 0.548 0.865  0.00
Dy 0.470 0.133 0.619  0.05
Tm 0.971 0.384 0.370  0.20
Y 0.136 0.966 0.116  0.04

=====

(6)
A relaxed structure of Dy2Y3Tm6Th. Source: Alexandria via LeMat-Bulk, functional PBE-GGA.

Computed properties:
The calculated formation energy comes out at 28.3 meV per atom.

a b c (Å): 6.113 6.113 11.682
angles (deg): 95.01 95.01 119.96
Positions (direct):
Y 0.500 0.500 0.500
Y 0.833 0.167 0.500
Y 0.167 0.833 0.500
Tm 0.084 0.414 0.249
Tm 0.586 0.916 0.751
Tm 0.754 0.754 0.249
Tm 0.414 0.084 0.249
Tm 0.916 0.586 0.751
Tm 0.246 0.246 0.751
Th 0.000 0.000 0.000
Dy 0.333 0.667 0.000
Dy 0.667 0.333 0.000

=====

(7)
A relaxed structure of DyY5TmTh2. Source: Alexandria via LeMat-Bulk, functional PBE-GGA.

Computed properties:
The calculated formation energy comes out at 339.6 meV per atom.

a b c (Å): 8.711 8.711 9.963
angles (deg): 115.92 115.92 90.00
Positions (direct):
Th 0.881 0.619 0.000
Th 0.119 0.381 0.000
Th 0.381 0.881 0.000
Th 0.619 0.119 0.000
Y 0.071 0.571 0.719
Y 0.648 0.148 0.719
Y 0.352 0.852 0.281
Y 0.429 0.352 0.281
Y 0.148 0.071 0.719
Y 0.852 0.929 0.281
Y 0.000 0.000 0.000
Y 0.571 0.648 0.719
Y 0.500 0.500 0.000
Y 0.929 0.429 0.281
Dy 0.250 0.750 0.500
Dy 0.750 0.250 0.500
Tm 0.250 0.250 0.500
Tm 0.750 0.750 0.500

=====

(8)
A relaxed structure of DyY3TmTh. Source: Alexandria via LeMat-Bulk, functional PBE-GGA.

Computed properties:
The calculated formation energy comes out at 37.0 meV per atom.

a b c (Å): 3.580 9.559 13.034
angles (deg): 120.05 90.00 90.00
Positions (direct):
Y 0.750 0.354 0.152
Y 0.250 0.041 0.899
Y 0.250 0.646 0.848
Y 0.250 0.663 0.393
Y 0.750 0.959 0.101
Y 0.750 0.337 0.607
Dy 0.750 0.725 0.646
Dy 0.250 0.275 0.354
Tm 0.750 0.346 0.880
Tm 0.250 0.654 0.120
Th 0.750 0.954 0.368
Th 0.250 0.046 0.632

=====

| no. | total moment (μB/f.u.) |
| --- | --- |
| 1 | 0.000 |
| 2 | 0.000 |
| 3 | 0.000 |
| 4 | 0.000 |
| 5 | 0.405 |
| 6 | 0.000 |
| 7 | 0.000 |
| 8 | 0.000 |